First-principles (PBE) data for a relaxed NiAgN crystal, as listed in Alexandria.

## Properties
- energy relative to the elements, uncorrected (eV/f.u.) = 1.79
- spin magnetization (μB per cell) = 0.000
- DOS(E_F) (states/eV/cell) = 2.27
- calculated volume (Å³ per cell) = 81.0

Unit cell a=3.5488 b=3.5488 c=6.4335 alpha=90.00 beta=90.00 gamma=90.00
Space group P4/nmm (No. 129, origin choice 2)
Inequivalent atoms, fractional coordinates:
Ni  0.2500  0.7500  0.0000 [2 per cell]
Ag  0.2500  0.2500  0.3933 [2 per cell]
N  0.2500  0.2500  0.8868 [2 per cell]